Record 1
Li2BeFe: optimized geometry, PBE.

Cell: 4.029 4.029 5.674 Å, 90.00 90.00 90.00°
Space group I-4m2 (No. 119)
Inequivalent atoms, fractional coordinates:
Li 0.000 0.000 0.000 [2 per cell]
Li 0.000 0.500 0.250 [2 per cell]
Be 0.000 0.000 0.500 [2 per cell]
Fe 0.000 0.500 0.750 [2 per cell]

Calculated values
As for the formation energy: 0.316 eV per atom.



Record 2
Li2BeFe2: optimized geometry, PBE.

Cell: 5.530 5.530 4.391 Å, 90.00 90.00 90.00°
Space group P4/mbm (No. 127)
Inequivalent atoms, fractional coordinates:
Li 0.174 0.326 0.000 [4 per cell]
Be 0.000 0.000 0.500 [2 per cell]
Fe 0.143 0.643 0.500 [4 per cell]

Calculated values
As for the formation energy: 0.410 eV per atom. The distance to the lowest polymorph of the same formula comes out at 0.0000 eV per atom.



Record 3
Li2BeFe: optimized geometry, PBE.

Cell: 2.379 4.198 4.697 Å, 90.00 90.00 90.00°
Space group Pmmm (No. 47)
Inequivalent atoms, fractional coordinates:
Li 0.000 0.000 0.247 [2 per cell]
Be 0.500 0.500 0.000 [1 per cell]
Fe 0.500 0.500 0.500 [1 per cell]

Calculated values
As for the formation energy: 0.312 eV per atom.



Record 4
LiBe2Fe2: optimized geometry, PBE.

Cell: 6.238 6.238 2.633 Å, 90.00 90.00 90.00°
Space group P4/mbm (No. 127)
Inequivalent atoms, fractional coordinates:
Li 0.000 0.000 0.000 [2 per cell]
Be 0.123 0.377 0.000 [4 per cell]
Fe 0.169 0.669 0.500 [4 per cell]

Calculated values
As for the formation energy: 0.073 eV per atom. The distance to the lowest polymorph of the same formula comes out at 0.0172 eV per atom.



Record 5
Li2BeFe: optimized geometry, PBE.

Cell: 2.469 4.487 8.835 Å, 90.00 90.00 90.00°
Space group Imm2 (No. 44)
Inequivalent atoms, fractional coordinates:
Li 0.000 0.000 0.000 [2 per cell]
Li 0.000 0.500 0.230 [2 per cell]
Be 0.000 0.500 0.745 [2 per cell]
Fe 0.000 0.000 0.454 [2 per cell]

Calculated values
As for the formation energy: 0.321 eV per atom.



Record 6
Li2BeFe: optimized geometry, PBE.

Cell: 3.269 3.269 8.601 Å, 90.00 90.00 90.00°
Space group I4/mmm (No. 139)
Inequivalent atoms, fractional coordinates:
Li 0.000 0.500 0.250 [4 per cell]
Be 0.000 0.000 0.000 [2 per cell]
Fe 0.000 0.000 0.500 [2 per cell]

Calculated values
As for the formation energy: 0.282 eV per atom.



Record 7
Li2BeFe: optimized geometry, PBE.

Cell: 3.278 3.278 4.261 Å, 90.00 90.00 90.00°
Space group P4/mmm (No. 123)
Inequivalent atoms, fractional coordinates:
Li 0.000 0.500 0.000 [2 per cell]
Be 0.000 0.000 0.500 [1 per cell]
Fe 0.500 0.500 0.500 [1 per cell]

Calculated values
As for the formation energy: 0.256 eV per atom.



Record 8
Li2BeFe: optimized geometry, PBE.

Cell: 8.242 2.385 4.872 Å, 90.00 96.42 90.00°
Space group Cm (No. 8)
Inequivalent atoms, fractional coordinates:
Li 0.000 0.000 0.000 [2 per cell]
Li 0.239 0.000 0.758 [2 per cell]
Be 0.494 0.000 0.458 [2 per cell]
Fe 0.261 0.500 0.294 [2 per cell]

Calculated values
As for the formation energy: 0.258 eV per atom.



Record 9
Li2BeFe: optimized geometry, PBE.

Cell: 2.577 4.049 8.825 Å, 90.00 90.00 90.00°
Space group Cmmm (No. 65)
Inequivalent atoms, fractional coordinates:
Li 0.000 0.000 0.247 [4 per cell]
Be 0.000 0.500 0.000 [2 per cell]
Fe 0.000 0.500 0.500 [2 per cell]

Calculated values
As for the formation energy: 0.250 eV per atom.



Record 10
Li2BeFe: optimized geometry, PBE.

Cell: 2.416 4.407 4.339 Å, 90.00 94.80 90.00°
Space group P2/m (No. 10)
Inequivalent atoms, fractional coordinates:
Li 0.249 0.000 0.250 [2 per cell]
Be 0.500 0.500 0.000 [1 per cell]
Fe 0.000 0.500 0.500 [1 per cell]

Calculated values
As for the formation energy: 0.250 eV per atom.



Record 11
LiBeFe4: optimized geometry, PBE.

Cell: 6.576 6.576 6.576 Å, 90.00 90.00 90.00°
Space group F-43m (No. 216)
Inequivalent atoms, fractional coordinates:
Li 0.000 0.000 0.000 [4 per cell]
Be 0.250 0.250 0.750 [4 per cell]
Fe 0.125 0.125 0.375 [16 per cell]

Calculated values
As for the formation energy: 0.308 eV per atom.



Record 12
LiBe2FeMo: optimized geometry, PBE.

Cell: 4.162 4.162 4.355 Å, 90.00 90.00 90.00°
Space group P4/mmm (No. 123)
Inequivalent atoms, fractional coordinates:
Li 0.000 0.000 0.000 [1 per cell]
Be 0.000 0.500 0.500 [2 per cell]
Fe 0.500 0.500 0.000 [1 per cell]
Mo 0.000 0.000 0.500 [1 per cell]

Calculated values
As for the formation energy: 1.825 eV per atom.



Record 13
RbLiBeFe2: optimized geometry, PBE.

Cell: 4.646 4.646 5.072 Å, 90.00 90.00 90.00°
Space group P4/mmm (No. 123)
Inequivalent atoms, fractional coordinates:
Rb 0.000 0.000 0.000 [1 per cell]
Li 0.000 0.000 0.500 [1 per cell]
Be 0.500 0.500 0.000 [1 per cell]
Fe 0.000 0.500 0.500 [2 per cell]

Calculated values
As for the formation energy: 1.723 eV per atom.



Record 14
LiBeFe2Rh: optimized geometry, PBE.

Cell: 4.395 4.395 4.329 Å, 90.00 90.00 90.00°
Space group P4/mmm (No. 123)
Inequivalent atoms, fractional coordinates:
Li 0.000 0.000 0.000 [1 per cell]
Be 0.500 0.500 0.000 [1 per cell]
Fe 0.000 0.500 0.500 [2 per cell]
Rh 0.000 0.000 0.500 [1 per cell]

Calculated values
As for the formation energy: 1.512 eV per atom.



Record 15
LiBeFeRu: optimized geometry, PBE.

Cell: 5.589 5.589 5.589 Å, 90.00 90.00 90.00°
Space group F-43m (No. 216)
Inequivalent atoms, fractional coordinates:
Li 0.000 0.000 0.000 [4 per cell]
Be 0.250 0.250 0.750 [4 per cell]
Fe 0.250 0.250 0.250 [4 per cell]
Ru 0.000 0.000 0.500 [4 per cell]

Calculated values
As for the formation energy: 0.062 eV per atom.



Record 16
Li2BeFeSi: optimized geometry, PBE.

Cell: 3.940 3.940 4.086 Å, 90.00 90.00 90.00°
Space group P4/mmm (No. 123)
Inequivalent atoms, fractional coordinates:
Li 0.000 0.500 0.000 [2 per cell]
Be 0.000 0.000 0.000 [1 per cell]
Fe 0.000 0.000 0.500 [1 per cell]
Si 0.500 0.500 0.500 [1 per cell]

Calculated values
The calculation puts the total DFT energy (no corrections) at -18.86 eV for the cell shown.



Record 17
TmLuBeFe: optimized geometry, PBE.

Cell: 6.587 6.587 6.587 Å, 90.00 90.00 90.00°
Space group F-43m (No. 216)
Inequivalent atoms, fractional coordinates:
Tm 0.000 0.000 0.000 [4 per cell]
Lu 0.000 0.000 0.500 [4 per cell]
Be 0.250 0.250 0.750 [4 per cell]
Fe 0.250 0.250 0.250 [4 per cell]

Calculated values
As for the formation energy: 0.064 eV per atom.



Record 18
LuZrBeFe: optimized geometry, PBE.

Cell: 6.454 6.454 6.454 Å, 90.00 90.00 90.00°
Space group F-43m (No. 216)
Inequivalent atoms, fractional coordinates:
Lu 0.000 0.000 0.000 [4 per cell]
Zr 0.000 0.000 0.500 [4 per cell]
Be 0.250 0.250 0.750 [4 per cell]
Fe 0.250 0.250 0.250 [4 per cell]

Calculated values
As for the formation energy: -0.023 eV per atom.



Record 19
MgBe2Fe2: optimized geometry, PBE.

Cell: 6.749 6.749 2.506 Å, 90.00 90.00 90.00°
Space group P4/mbm (No. 127)
Inequivalent atoms, fractional coordinates:
Mg 0.000 0.000 0.000 [2 per cell]
Be 0.171 0.329 0.500 [4 per cell]
Fe 0.122 0.622 0.000 [4 per cell]

Calculated values
As for the formation energy: 0.097 eV per atom. The distance to the lowest polymorph of the same formula comes out at 0.0668 eV per atom.



Record 20
Mg3BeFe: optimized geometry, PBE.

Cell: 4.746 4.746 4.746 Å, 90.00 90.00 90.00°
Space group Pm-3m (No. 221)
Inequivalent atoms, fractional coordinates:
Mg 0.000 0.000 0.500 [3 per cell]
Be 0.500 0.500 0.500 [1 per cell]
Fe 0.000 0.000 0.000 [1 per cell]

Calculated values
As for the formation energy: 1.030 eV per atom. The distance to the lowest polymorph of the same formula comes out at 0.3096 eV per atom.



Record 21
MgBeFe: optimized geometry, PBE.

Cell: 2.846 2.846 9.292 Å, 90.00 90.00 90.00°
Space group I4mm (No. 107)
Inequivalent atoms, fractional coordinates:
Mg 0.000 0.000 0.000 [2 per cell]
Be 0.000 0.000 0.295 [2 per cell]
Fe 0.000 0.000 0.697 [2 per cell]

Calculated values
As for the formation energy: 0.162 eV per atom. The distance to the lowest polymorph of the same formula comes out at 0.0000 eV per atom.



Record 22
Mg4BeFe: optimized geometry, PBE.

Cell: 7.741 7.741 7.741 Å, 90.00 90.00 90.00°
Space group F-43m (No. 216)
Inequivalent atoms, fractional coordinates:
Mg 0.125 0.125 0.125 [16 per cell]
Be 0.250 0.250 0.750 [4 per cell]
Fe 0.000 0.000 0.500 [4 per cell]

Calculated values
As for the formation energy: 0.722 eV per atom.



Record 23
MgBe2Fe2: optimized geometry, PBE.

Cell: 3.967 3.967 7.567 Å, 90.00 90.00 90.00°
Space group I4/mmm (No. 139)
Inequivalent atoms, fractional coordinates:
Mg 0.000 0.000 0.000 [2 per cell]
Be 0.000 0.500 0.250 [4 per cell]
Fe 0.000 0.000 0.358 [4 per cell]

Calculated values
As for the formation energy: 0.298 eV per atom. The distance to the lowest polymorph of the same formula comes out at 0.2676 eV per atom.



Record 24
Mg3BeFe: optimized geometry, PBE.

Cell: 4.636 4.636 4.636 Å, 90.00 90.00 90.00°
Space group Pm-3m (No. 221)
Inequivalent atoms, fractional coordinates:
Mg 0.000 0.000 0.500 [3 per cell]
Be 0.000 0.000 0.000 [1 per cell]
Fe 0.500 0.500 0.500 [1 per cell]

Calculated values
As for the formation energy: 0.720 eV per atom. The distance to the lowest polymorph of the same formula comes out at 0.0000 eV per atom.



Record 25
MgBe4Fe: optimized geometry, PBE.

Cell: 6.186 6.186 6.186 Å, 90.00 90.00 90.00°
Space group F-43m (No. 216)
Inequivalent atoms, fractional coordinates:
Mg 0.000 0.000 0.000 [4 per cell]
Be 0.123 0.123 0.623 [16 per cell]
Fe 0.250 0.250 0.250 [4 per cell]

Calculated values
As for the formation energy: -0.024 eV per atom.



Record 26
MgBeFe: optimized geometry, PBE.

Cell: 5.572 5.572 5.572 Å, 90.00 90.00 90.00°
Space group F-43m (No. 216)
Inequivalent atoms, fractional coordinates:
Mg 0.000 0.000 0.000 [4 per cell]
Be 0.250 0.250 0.250 [4 per cell]
Fe 0.000 0.000 0.500 [4 per cell]

Calculated values
As for the formation energy: 0.552 eV per atom. The distance to the lowest polymorph of the same formula comes out at 0.3900 eV per atom.



Record 27
MgBeFe: optimized geometry, PBE.

Cell: 4.0532 4.0532 2.6570 Å, 90.00 90.00 120.00°
Space group P3m1 (No. 156)
Inequivalent atoms, fractional coordinates:
Mg 0.0000 0.0000 0.0000 [1 per cell]
Be 0.6667 0.3333 0.3543 [1 per cell]
Fe 0.3333 0.6667 0.5675 [1 per cell]

Calculated values
As for the formation energy: 0.318 eV per atom. The distance to the lowest polymorph of the same formula comes out at 0.1558 eV per atom.



Record 28
Mg2BeFe2: optimized geometry, PBE.

Cell: 5.751 5.751 4.267 Å, 90.00 90.00 90.00°
Space group P4/mbm (No. 127)
Inequivalent atoms, fractional coordinates:
Mg 0.172 0.328 0.000 [4 per cell]
Be 0.000 0.000 0.500 [2 per cell]
Fe 0.138 0.638 0.500 [4 per cell]

Calculated values
As for the formation energy: 0.195 eV per atom.



| no. | density of states at the Fermi level (states/eV/atom) | mass density (Mg/m³) |
| --- | --- | --- |
| 1 | 0.707 | 2.8 |
| 2 | 0.991 | 3.3 |
| 3 | 0.766 | 2.8 |
| 4 | 0.855 | 4.4 |
| 5 | 0.698 | 2.7 |
| 6 | 0.434 | 2.8 |
| 7 | 0.561 | 2.9 |
| 8 | 0.724 | 2.7 |
| 9 | 0.407 | 2.8 |
| 10 | 0.754 | 2.8 |
| 11 | 0.680 | 5.6 |
| 12 | 1.099 | 3.9 |
| 13 | 1.254 | 3.2 |
| 14 | 1.796 | 4.6 |
| 15 | 0.853 | 6.6 |
| 16 | 0.422 | 2.8 |
| 17 | 0.981 | 9.5 |
| 18 | 0.526 | 8.2 |
| 19 | 0.505 | 4.5 |
| 20 | 0.774 | 2.1 |
| 21 | 0.856 | 3.9 |
| 22 | 1.028 | 2.3 |
| 23 | 0.427 | 4.3 |
| 24 | 1.016 | 2.3 |
| 25 | 0.648 | 3.3 |
| 26 | 0.954 | 3.4 |
| 27 | 1.000 | 3.9 |
| 28 | 0.654 | 4.0 |